1.
A plane-wave DFT calculation with PBE was carried out for a geometry-optimized AlNi14W structure.

Cell: 5.0500 5.0500 7.0720 Å, 90.00 90.00 90.00°
With the nearest neighbours (Å) after each atom.
Element x y z (fractional)
Ni 0.1253 0.1253 0.2466  10 Ni 2.49-2.53, 1 Al 2.53, 1 W 2.53
Ni 0.3750 0.8750 0.0000  12 Ni 2.50-2.53
Al 0.3750 0.3750 0.5000  12 Ni 2.52-2.53
Ni 0.3750 0.3750 0.0000  12 Ni 2.49-2.53
Ni 0.1253 0.6247 0.7534  10 Ni 2.49-2.53, 1 Al 2.53, 1 W 2.53
Ni 0.8750 0.3750 0.5000  2 Al 2.52-2.53, 2 W 2.52-2.53, 8 Ni 2.53
Ni 0.8750 0.3750 0.0000  12 Ni 2.50-2.53
Ni 0.8750 0.8750 0.0000  12 Ni 2.50-2.53
Ni 0.6247 0.6247 0.7534  10 Ni 2.49-2.53, 1 Al 2.53, 1 W 2.53
Ni 0.3750 0.8750 0.5000  2 Al 2.52-2.53, 2 W 2.52-2.53, 8 Ni 2.53
Ni 0.6247 0.1253 0.7534  10 Ni 2.49-2.53, 1 Al 2.53, 1 W 2.53
Ni 0.1253 0.6247 0.2466  10 Ni 2.49-2.53, 1 Al 2.53, 1 W 2.53
Ni 0.6247 0.6247 0.2466  10 Ni 2.49-2.53, 1 Al 2.53, 1 W 2.53
Ni 0.1253 0.1253 0.7534  10 Ni 2.49-2.53, 1 Al 2.53, 1 W 2.53
W 0.8750 0.8750 0.5000  12 Ni 2.52-2.53
Ni 0.6247 0.1253 0.2466  10 Ni 2.49-2.53, 1 Al 2.53, 1 W 2.53

Output
The value obtained for the energy of formation is -0.121 eV per atom. The magnetic moment comes out at 4.4 μB/f.u. The total DFT energy (no corrections) is -0.229 hartree per atom. For the volume, the calculation gives 180.4 Å³ per cell.

2.
A plane-wave DFT calculation with PBE was carried out for a geometry-optimized DyHf2B6 structure.

Cell: 3.6003 5.5356 5.5356 Å, 120.00 90.00 90.00°
With the nearest neighbours (Å) after each atom.
Element x y z (fractional)
B 0.5000 0.3383 0.3383  3 B 1.79-1.87
B 0.5000 0.3383 0.0000  3 B 1.79-1.87
B 0.5000 0.0000 0.3383  3 B 1.79-1.87
Dy 0.0000 0.0000 0.0000  12 B 2.60
B 0.5000 0.0000 0.6617  3 B 1.79-1.87
Hf 0.0000 0.6667 0.3333  12 B 2.57
Hf 0.0000 0.3333 0.6667  12 B 2.57
B 0.5000 0.6617 0.0000  3 B 1.79-1.87
B 0.5000 0.6617 0.6617  3 B 1.79-1.87

Output
The value obtained for the energy of formation is -0.857 eV per atom. The magnetic moment comes out at 0.0 μB/f.u. The total DFT energy (no corrections) is -0.295 hartree per atom. For the volume, the calculation gives 95.5 Å³ per cell.

3.
A plane-wave DFT calculation with PBE was carried out for a geometry-optimized CdGa3Bi structure.

Cell: 5.1732 5.1732 5.1732 Å, 90.00 90.00 90.00°
With the nearest neighbours (Å) after each atom.
Element x y z (fractional)
Ga 0.5000 0.0000 0.0000  2 Cd 2.59
Ga 0.0000 0.5000 0.0000  2 Cd 2.59
Ga 0.0000 0.0000 0.5000  2 Cd 2.59
Cd 0.0000 0.0000 0.0000  6 Ga 2.59
Bi 0.5000 0.5000 0.5000  12 Ga 3.66

Output
The value obtained for the energy of formation is 0.396 eV per atom. The magnetic moment comes out at 0.0 μB/f.u. The total DFT energy (no corrections) is -0.087 hartree per atom. The energy relative to the lowest polymorph listed for this composition is 0 meV/atom. For the volume, the calculation gives 138.4 Å³ per cell.

4.
A plane-wave DFT calculation with PBE was carried out for a geometry-optimized CsThTe2Cl structure.

Cell: 4.6145 9.8339 10.4060 Å, 105.64 90.00 90.00°
With the nearest neighbours (Å) after each atom.
Element x y z (fractional)
Te 0.2500 0.1658 0.9566  3 Th 3.20
Cs 0.7500 0.2717 0.6835  2 Cl 3.50
Cs 0.2500 0.7283 0.3165  2 Cl 3.50
Te 0.7500 0.8549 0.6380  2 Th 3.10
Cl 0.2500 0.5495 0.7680  1 Th 2.67
Th 0.2500 0.8316 0.8296  1 Cl 2.67
Te 0.7500 0.8342 0.0434  3 Th 3.20
Cl 0.7500 0.4505 0.2320  1 Th 2.67
Th 0.7500 0.1684 0.1704  1 Cl 2.67
Te 0.2500 0.1451 0.3620  2 Th 3.10

Output
The magnetic moment comes out at 0.0 μB/f.u. The total DFT energy (no corrections) is -0.177 hartree per atom. The value obtained for the uncorrected formation energy is -1.53 eV per atom. For the volume, the calculation gives 454.7 Å³ per cell.

5.
A plane-wave DFT calculation with PBE was carried out for a geometry-optimized CaPu2Pd3 structure.

Cell: 3.4781 3.4781 10.8893 Å, 90.00 90.00 90.00°
With the nearest neighbours (Å) after each atom.
Element x y z (fractional)
Pd 0.0000 0.0000 0.6735  4 Pu 3.02, 4 Ca 3.10
Pd 0.0000 0.0000 0.0000  8 Pu 3.05
Pu 0.5000 0.5000 0.1655  8 Pd 3.02-3.05
Pd 0.0000 0.0000 0.3265  4 Pu 3.02, 4 Ca 3.10
Pu 0.5000 0.5000 0.8345  8 Pd 3.02-3.05
Ca 0.5000 0.5000 0.5000  8 Pd 3.10

Output
The value obtained for the energy of formation is -0.488 eV per atom. The magnetic moment comes out at 11.0 μB/f.u. The total DFT energy (no corrections) is -0.301 hartree per atom. For the volume, the calculation gives 131.7 Å³ per cell.

6.
A plane-wave DFT calculation with PBE was carried out for a geometry-optimized MnCo2Mo structure.

Cell: 2.6347 2.6347 7.3287 Å, 90.00 90.00 90.00°
With the nearest neighbours (Å) after each atom.
Element x y z (fractional)
Mn 0.0000 0.0000 0.4766  4 Co 2.56, 4 Mn 2.63, 4 Mo 2.79
Co 0.5000 0.5000 0.2361  8 Co 2.41-2.63, 4 Mn 2.56
Mo 0.5000 0.5000 0.7597  4 Mo 2.63, 4 Co 2.71, 4 Mn 2.79
Co 0.0000 0.0000 0.0275  8 Co 2.41-2.63

Output
The value obtained for the energy of formation is 0.152 eV per atom. The magnetic moment comes out at 6.0 μB/f.u. The total DFT energy (no corrections) is -0.309 hartree per atom. The energy relative to the lowest polymorph listed for this composition is 160 meV/atom. For the volume, the calculation gives 50.9 Å³ per cell.

7.
A plane-wave DFT calculation with PBE was carried out for a geometry-optimized NdHoSc2Sb4 structure.

Cell: 4.3159 7.4696 7.4468 Å, 109.55 90.00 90.00°
With the nearest neighbours (Å) after each atom.
Element x y z (fractional)
Sb 0.0000 0.2384 0.7294  3 Sc 2.95-2.99, 1 Ho 3.10, 2 Nd 3.15
Nd 0.5000 0.5000 0.0000  6 Sb 3.15
Ho 0.0000 0.0000 0.0000  6 Sb 3.10
Sb 0.0000 0.7616 0.2706  3 Sc 2.95-2.99, 1 Ho 3.10, 2 Nd 3.15
Sb 0.5000 0.2509 0.2670  3 Sc 2.95-2.99, 2 Ho 3.10, 1 Nd 3.15
Sc 0.5000 0.0000 0.5000  6 Sb 2.95
Sc 0.0000 0.5000 0.5000  6 Sb 2.99
Sb 0.5000 0.7491 0.7330  3 Sc 2.95-2.99, 2 Ho 3.10, 1 Nd 3.15

Output
The magnetic moment comes out at 0.0 μB/f.u. The total DFT energy (no corrections) is -0.215 hartree per atom. The value obtained for the uncorrected formation energy is -1.03 eV per atom. For the volume, the calculation gives 226.2 Å³ per cell.

8.
A plane-wave DFT calculation with PBE was carried out for a geometry-optimized Li3Pm2SmSe6 structure.

Cell: 7.2240 7.2240 6.9503 Å, 99.96 99.96 120.01°
With the nearest neighbours (Å) after each atom.
Element x y z (fractional)
Se 0.5820 0.9140 0.7418  3 Li 2.87-2.89, 1 Sm 2.93, 2 Pm 2.94
Sm 0.0000 0.0000 0.0000  6 Se 2.93
Se 0.9140 0.5820 0.7418  3 Li 2.87-2.89, 1 Sm 2.93, 2 Pm 2.94
Li 0.5000 0.5000 0.5000  6 Se 2.88-2.89
Pm 0.6667 0.3333 0.0000  6 Se 2.94
Li 0.1663 0.8337 0.5000  6 Se 2.87-2.89
Se 0.4180 0.0860 0.2582  3 Li 2.87-2.89, 1 Sm 2.93, 2 Pm 2.94
Se 0.0860 0.4180 0.2582  3 Li 2.87-2.89, 1 Sm 2.93, 2 Pm 2.94
Se 0.7538 0.7538 0.2579  3 Li 2.87-2.89, 1 Sm 2.93, 2 Pm 2.94
Pm 0.3333 0.6667 0.0000  6 Se 2.94
Se 0.2462 0.2462 0.7421  3 Li 2.87-2.89, 1 Sm 2.93, 2 Pm 2.94
Li 0.8337 0.1663 0.5000  6 Se 2.87-2.89

Output
The magnetic moment comes out at 0.0 μB/f.u. The total DFT energy (no corrections) is -0.187 hartree per atom. The value obtained for the uncorrected formation energy is -1.67 eV per atom. For the volume, the calculation gives 294.7 Å³ per cell.

9.
A plane-wave DFT calculation with PBE was carried out for a geometry-optimized Hf2NbTl structure.

Cell: 3.0806 4.6879 6.1042 Å, 90.00 102.99 90.00°
With the nearest neighbours (Å) after each atom.
Element x y z (fractional)
Tl 0.5000 0.5000 0.0000  2 Nb 3.05, 2 Tl 3.08, 8 Hf 3.23-3.26
Hf 0.8880 0.0000 0.7249  2 Nb 2.84, 3 Hf 2.98-3.08
Hf 0.1120 0.0000 0.2751  2 Nb 2.84, 3 Hf 2.98-3.08
Nb 0.5000 0.5000 0.5000  4 Hf 2.84, 2 Tl 3.05, 2 Nb 3.08

Output
The value obtained for the energy of formation is 0.121 eV per atom. The magnetic moment comes out at 0.0 μB/f.u. The total DFT energy (no corrections) is -0.293 hartree per atom. The energy relative to the lowest polymorph listed for this composition is 139 meV/atom. For the volume, the calculation gives 85.9 Å³ per cell.

10.
A plane-wave DFT calculation with PBE was carried out for a geometry-optimized Ta2Ti2Pd structure.

Cell: 5.1422 5.2918 10.7825 Å, 39.07 103.80 90.00°
With the nearest neighbours (Å) after each atom.
Element x y z (fractional)
Ti 0.2952 0.8753 0.8166  2 Pd 2.62-2.83, 4 Ti 2.74-2.89, 3 Ta 2.77-2.88
Ta 0.9280 0.6168 0.6038  4 Ti 2.77-3.00, 2 Pd 2.85-3.00, 5 Ta 2.90-2.95
Ti 0.4786 0.6247 0.1834  2 Pd 2.62-2.83, 4 Ti 2.74-2.89, 3 Ta 2.77-2.88
Ta 0.6758 0.1168 0.6038  4 Ti 2.77-3.00, 2 Pd 2.85-3.00, 5 Ta 2.90-2.95
Pd 0.9140 0.7500 0.0000  4 Ti 2.62-2.83, 2 Pd 2.79, 2 Ta 2.85
Pd 0.0860 0.2500 0.0000  4 Ti 2.62-2.83, 2 Pd 2.79, 2 Ta 2.85
Ti 0.7048 0.1247 0.1834  2 Pd 2.62-2.83, 4 Ti 2.74-2.89, 3 Ta 2.77-2.88
Ti 0.5214 0.3753 0.8166  2 Pd 2.62-2.83, 4 Ti 2.74-2.89, 3 Ta 2.77-2.88
Ta 0.3242 0.8832 0.3962  4 Ti 2.77-3.00, 2 Pd 2.85-3.00, 5 Ta 2.90-2.95
Ta 0.0720 0.3832 0.3962  4 Ti 2.77-3.00, 2 Pd 2.85-3.00, 5 Ta 2.90-2.95

Output
The value obtained for the energy of formation is -0.119 eV per atom. The magnetic moment comes out at 0.0 μB/f.u. The total DFT energy (no corrections) is -0.333 hartree per atom. For the volume, the calculation gives 171.2 Å³ per cell.

11.
A plane-wave DFT calculation with PBE was carried out for a geometry-optimized NaSmHgSb structure.

Cell: 5.3396 5.3396 5.3396 Å, 60.00 60.00 60.00°
With the nearest neighbours (Å) after each atom.
Element x y z (fractional)
Hg 0.7500 0.7500 0.7500  4 Na 3.27, 4 Sm 3.27
Sb 0.2500 0.2500 0.2500  4 Na 3.27, 4 Sm 3.27
Na 0.0000 0.0000 0.0000  4 Sb 3.27, 4 Hg 3.27
Sm 0.5000 0.5000 0.5000  4 Hg 3.27, 4 Sb 3.27

Output
The magnetic moment comes out at 0.0 μB/f.u. The total DFT energy (no corrections) is -0.115 hartree per atom. The value obtained for the uncorrected formation energy is -0.51 eV per atom. For the volume, the calculation gives 107.6 Å³ per cell.

12.
A plane-wave DFT calculation with PBE was carried out for a geometry-optimized CaNdGaCu structure.

Cell: 5.1334 5.1334 5.1334 Å, 60.00 60.00 60.00°
With the nearest neighbours (Å) after each atom.
Element x y z (fractional)
Cu 0.2500 0.2500 0.2500  4 Ca 3.14, 4 Nd 3.14
Nd 0.0000 0.0000 0.0000  4 Cu 3.14, 4 Ga 3.14
Ca 0.5000 0.5000 0.5000  4 Ga 3.14, 4 Cu 3.14
Ga 0.7500 0.7500 0.7500  4 Ca 3.14, 4 Nd 3.14

Output
The value obtained for the energy of formation is -0.324 eV per atom. The magnetic moment comes out at 0.0 μB/f.u. The total DFT energy (no corrections) is -0.140 hartree per atom. For the volume, the calculation gives 95.7 Å³ per cell.